(1)
Here is NbCo2Pt after structural relaxation from the Alexandria database. Energies are from PBE.

```
NbCo2Pt
1.0
-1.872 1.872 8.700
1.872 -1.872 8.700
1.872 1.872 -8.700
Nb Co Pt
2 4 2
direct
0.000 0.000 0.000
0.750 0.250 0.500
0.160 0.625 0.035
0.375 0.410 0.535
0.590 0.125 0.965
0.875 0.840 0.465
0.250 0.750 0.500
0.500 0.500 0.000
```

Energy of formation from the pure elements, meV/atom: 226
Fermi-level density of states, states/eV per cell: 9.23
Total moment, μB per atom: 0.43

---

(2)
Here is NbCoPt after structural relaxation from the Alexandria database. Energies are from PBE.

```
NbCoPt
1.0
2.802 0.000 0.000
0.000 3.795 0.000
0.000 0.000 8.371
Nb Co Pt
2 2 2
direct
0.250 0.250 0.231
0.750 0.750 0.769
0.250 0.250 0.937
0.750 0.750 0.063
0.250 0.250 0.598
0.750 0.750 0.402
```

E above lowest polymorph, meV per atom: 0
Energy of formation from the pure elements, meV/atom: -352
Fermi-level density of states, states/eV per cell: 4.76
Total moment, μB per atom: 0.28

---

(3)
Here is Nb2Co2Pt after structural relaxation from the Alexandria database. Energies are from PBE.

```
Nb2Co2Pt
1.0
2.264 -2.907 0.000
2.264 2.907 0.000
0.000 0.000 5.946
Nb Co Pt
2 2 1
direct
0.000 0.000 0.246
0.000 0.000 0.754
0.313 0.687 0.500
0.687 0.313 0.500
0.500 0.500 0.000
```

E above lowest polymorph, meV per atom: 376
Energy of formation from the pure elements, meV/atom: 5
Fermi-level density of states, states/eV per cell: 5.32
Total moment, μB per atom: 0.07